# Nb2InAs2

A relaxed Nb2InAs2 crystal (GGA-PBEsol, Alexandria via LeMat-Bulk).

Lattice parameters (Å, degrees): 6.031 6.031 6.031 135.99 135.99 64.00
Element x y z (fractional)
Nb1 0.125 0.125 0.000
Nb2 0.875 0.875 0.000
In1 0.500 0.500 0.000
As1 0.250 0.750 0.500
As2 0.750 0.250 0.500

## Properties
- final energy (eV/atom) = -6.835
- space-group type = I4/mmm, No. 139